Entry 1
The following is a DFT calculation (PBE) of a relaxed structure of Mn2HIrRh.

Computed properties:
Crystal system = tetragonal
Total magnetic moment = 0.67 μB/atom

abc: 3.8003 3.8003 3.7357
angles: 90.00 90.00 90.00
Last column: nearest neighbours and their distance in Å.
Atoms (fractional coordinates):
H 0.0000 0.0000 0.0000  2 Rh 1.87, 4 Mn 1.90
Ir 0.5000 0.5000 0.5000  8 Mn 2.66, 4 Rh 2.69
Rh 0.0000 0.0000 0.5000  2 H 1.87
Mn 0.0000 0.5000 0.0000  2 H 1.90
Mn 0.5000 0.0000 0.0000  2 H 1.90

***

Entry 2
The following is a DFT calculation (PBE) of a relaxed structure of Mn2HIrRh.

Computed properties:
Crystal system = tetragonal
Total magnetic moment = 0.72 μB/atom

abc: 3.8121 3.8121 3.7430
angles: 90.00 90.00 90.00
Last column: nearest neighbours and their distance in Å.
Atoms (fractional coordinates):
H 0.0000 0.0000 0.0000  2 Ir 1.87, 4 Mn 1.91
Ir 0.0000 0.0000 0.5000  2 H 1.87
Rh 0.5000 0.5000 0.5000  8 Mn 2.67, 4 Ir 2.70
Mn 0.0000 0.5000 0.0000  2 H 1.91
Mn 0.5000 0.0000 0.0000  2 H 1.91

***

Most stable one: entry 1, least stable one: entry 2.

***

Entry 1
The following is a DFT calculation (PBE) of a relaxed structure of MnHIr2Rh.

Computed properties:
Crystal system = tetragonal
Total magnetic moment = 0.62 μB/atom

abc: 3.8764 3.8764 3.9072
angles: 90.00 90.00 90.00
Last column: nearest neighbours and their distance in Å.
Atoms (fractional coordinates):
H 0.0000 0.0000 0.0000  4 Ir 1.94, 2 Mn 1.95
Ir 0.0000 0.5000 0.0000  2 H 1.94
Ir 0.5000 0.0000 0.0000  2 H 1.94
Rh 0.5000 0.5000 0.5000  4 Mn 2.74, 8 Ir 2.75
Mn 0.0000 0.0000 0.5000  2 H 1.95

***

Entry 2
The following is a DFT calculation (PBE) of a relaxed structure of MnHIr2Rh.

Computed properties:
Crystal system = tetragonal
Total magnetic moment = 0.63 μB/atom

abc: 3.9030 3.9030 3.8834
angles: 90.00 90.00 90.00
Last column: nearest neighbours and their distance in Å.
Atoms (fractional coordinates):
H 0.0000 0.0000 0.0000  2 Rh 1.94, 4 Ir 1.95
Ir 0.0000 0.5000 0.0000  2 H 1.95
Ir 0.5000 0.0000 0.0000  2 H 1.95
Rh 0.0000 0.0000 0.5000  2 H 1.94
Mn 0.5000 0.5000 0.5000  8 Ir 2.75, 4 Rh 2.76

***

Most stable one: entry 2, least stable one: entry 1.

***

Entry 1
The following is a DFT calculation (PBE) of a relaxed structure of MnHIrRu2.

Computed properties:
Crystal system = tetragonal
Total magnetic moment = 0.32 μB/atom

abc: 3.8547 3.8547 3.8766
angles: 90.00 90.00 90.00
Last column: nearest neighbours and their distance in Å.
Atoms (fractional coordinates):
Ru 0.0000 0.5000 0.0000  2 H 1.93
Ru 0.5000 0.0000 0.0000  2 H 1.93
Ir 0.0000 0.0000 0.5000  2 H 1.94
Mn 0.5000 0.5000 0.5000  4 Ir 2.73, 8 Ru 2.73
H 0.0000 0.0000 0.0000  4 Ru 1.93, 2 Ir 1.94

***

Entry 2
The following is a DFT calculation (PBE) of a relaxed structure of MnHIrRu2.

Computed properties:
Crystal system = tetragonal
Total magnetic moment = 0.00 μB/atom

abc: 3.8234 3.8234 3.7964
angles: 90.00 90.00 90.00
Last column: nearest neighbours and their distance in Å.
Atoms (fractional coordinates):
Ru 0.0000 0.5000 0.0000  2 H 1.91
Ru 0.5000 0.0000 0.0000  2 H 1.91
Ir 0.5000 0.5000 0.5000  8 Ru 2.69, 4 Mn 2.70
Mn 0.0000 0.0000 0.5000  2 H 1.90
H 0.0000 0.0000 0.0000  2 Mn 1.90, 4 Ru 1.91

***

Most stable one: entry 1, least stable one: entry 2.

***

Entry 1
The following is a DFT calculation (PBE) of a relaxed structure of Mn2HIrSe.

Computed properties:
Crystal system = tetragonal
Total magnetic moment = 0.25 μB/atom

abc: 7.7934 3.9295 3.9271
angles: 90.00 104.56 90.00
Last column: nearest neighbours and their distance in Å.
Atoms (fractional coordinates):
Mn 0.4655 0.0000 0.0907  4 Se 2.43, 4 Ir 2.65
Mn 0.4655 0.5000 0.5907  4 Se 2.43, 4 Ir 2.65
Mn 0.9482 0.0000 0.3315  4 H 1.97
Mn 0.9482 0.5000 0.8315  4 H 1.97
H 0.9691 0.0000 0.8419  4 Mn 1.97, 1 Ir 2.02
H 0.9691 0.5000 0.3419  4 Mn 1.97, 1 Ir 2.02
Ir 0.7018 0.0000 0.7084  1 H 2.02
Ir 0.7018 0.5000 0.2084  1 H 2.02
Se 0.2754 0.0000 0.4958  5 Mn 2.43-2.47
Se 0.2754 0.5000 0.9958  5 Mn 2.43-2.47

***

Entry 2
The following is a DFT calculation (PBE) of a relaxed structure of Mn2HIrSe.

Computed properties:
Crystal system = monoclinic
Total magnetic moment = 1.49 μB/atom

abc: 3.0413 3.0964 7.2727
angles: 90.00 90.01 90.00
Last column: nearest neighbours and their distance in Å.
Atoms (fractional coordinates):
Mn 0.2774 0.5000 0.5181  2 Se 2.59, 4 Ir 2.66, 2 H 2.85-2.86
Mn 0.2772 0.0000 0.0331  4 H 2.54-2.55, 4 Se 2.60, 2 Ir 2.68
H 0.7824 0.5000 0.8504  2 Ir 1.78
Ir 0.7777 0.0000 0.7292  2 H 1.78
Se 0.7765 0.5000 0.2293  6 Mn 2.59-2.60, 1 H 2.76

***

Most stable one: entry 1, least stable one: entry 2.

***

Entry 1
The following is a DFT calculation (PBE) of a relaxed structure of Mn2HIrSe.

Computed properties:
Crystal system = orthorhombic
Total magnetic moment = 0.00 μB/atom

abc: 3.7573 2.8968 12.9257
angles: 90.00 90.00 90.00
Last column: nearest neighbours and their distance in Å.
Atoms (fractional coordinates):
Mn 0.0000 0.0000 0.4590  2 H 1.90
Mn 0.5000 0.5000 0.9590  2 H 1.90
Mn 0.0000 0.0000 0.2475  2 Se 2.54, 4 Ir 2.73, 1 Mn 2.73
Mn 0.5000 0.5000 0.7475  2 Se 2.54, 4 Ir 2.73, 1 Mn 2.73
H 0.0000 0.5000 0.9355  2 Ir 1.81, 2 Mn 1.90
H 0.5000 0.0000 0.4355  2 Ir 1.81, 2 Mn 1.90
Ir 0.0000 0.0000 0.8520  2 H 1.81
Ir 0.5000 0.5000 0.3520  2 H 1.81
Se 0.0000 0.5000 0.6157  4 Mn 2.49-2.54
Se 0.5000 0.0000 0.1157  4 Mn 2.49-2.54

***

Entry 2
The following is a DFT calculation (PBE) of a relaxed structure of Mn2HIrSe.

Computed properties:
Crystal system = monoclinic
Total magnetic moment = 1.69 μB/atom

abc: 3.7463 3.0270 6.4595
angles: 90.00 106.81 90.00
Last column: nearest neighbours and their distance in Å.
Atoms (fractional coordinates):
Mn 0.4933 0.0000 0.5034  4 Se 2.73, 4 Ir 2.79, 3 Mn 2.84-3.03
Mn 0.2650 0.0000 0.0439  2 H 1.91
H 0.7969 0.0000 0.1076  2 Ir 1.83, 2 Mn 1.91
Ir 0.8796 0.5000 0.2746  2 H 1.83
Se 0.0965 0.5000 0.7104  6 Mn 2.56-2.73, 1 Ir 2.69

***

Entry 3
The following is a DFT calculation (PBE) of a relaxed structure of Mn2HIrSe.

Computed properties:
Crystal system = monoclinic
Total magnetic moment = 1.51 μB/atom

abc: 3.0530 3.0810 15.3923
angles: 90.00 112.31 90.00
Last column: nearest neighbours and their distance in Å.
Atoms (fractional coordinates):
Mn 0.5604 0.0000 0.2405  2 Se 2.58-2.60, 4 Ir 2.65, 1 H 2.87
Mn 0.5604 0.5000 0.7405  2 Se 2.58-2.60, 4 Ir 2.65, 1 H 2.87
Mn 0.0624 0.0000 0.9916  2 H 1.86-1.87
Mn 0.0624 0.5000 0.4916  2 H 1.86-1.87
H 0.7087 0.0000 0.0672  2 Ir 1.81, 2 Mn 1.86-1.87
H 0.7087 0.5000 0.5672  2 Ir 1.81, 2 Mn 1.86-1.87
Ir 0.8536 0.0000 0.6335  2 H 1.81
Ir 0.8536 0.5000 0.1335  2 H 1.81
Se 0.3461 0.0000 0.3872  6 Mn 2.58-2.66
Se 0.3461 0.5000 0.8872  6 Mn 2.58-2.66

***

Entry 4
The following is a DFT calculation (PBE) of a relaxed structure of Mn2HIrSe.

Computed properties:
Crystal system = monoclinic
Total magnetic moment = 1.57 μB/atom

abc: 7.1627 3.3669 6.0735
angles: 90.00 107.59 90.00
Last column: nearest neighbours and their distance in Å.
Atoms (fractional coordinates):
Mn 0.5245 0.0000 0.8539  1 H 2.21
Mn 0.5245 0.5000 0.3539  1 H 2.21
Mn 0.0366 0.0000 0.6793  1 H 2.09
Mn 0.0366 0.5000 0.1793  1 H 2.09
H 0.7403 0.0000 0.6599  2 Ir 1.80
H 0.7403 0.5000 0.1599  2 Ir 1.80
Ir 0.7861 0.0000 0.2675  2 H 1.80
Ir 0.7861 0.5000 0.7675  2 H 1.80
Se 0.2725 0.0000 0.0938  6 Mn 2.55-2.64
Se 0.2725 0.5000 0.5938  6 Mn 2.55-2.64

***

Most stable one: entry 1, least stable one: entry 4.

***

Entry 1
The following is a DFT calculation (PBE) of a relaxed structure of Mn2HIrSe.

Computed properties:
Crystal system = monoclinic
Total magnetic moment = 1.83 μB/atom

abc: 3.5476 3.2301 13.5453
angles: 90.00 105.23 90.00
Last column: nearest neighbours and their distance in Å.
Atoms (fractional coordinates):
Mn 0.9216 0.0000 0.1790  4 H 2.43, 1 Se 2.67, 4 Ir 2.71
Mn 0.9216 0.5000 0.6790  4 H 2.43, 1 Se 2.67, 4 Ir 2.71
Mn 0.7084 0.0000 0.9659  4 Se 2.63, 1 Mn 2.78, 4 Ir 2.85
Mn 0.7084 0.5000 0.4659  4 Se 2.63, 1 Mn 2.78, 4 Ir 2.85
H 0.4494 0.0000 0.7085  1 Ir 1.64
H 0.4494 0.5000 0.2085  1 Ir 1.64
Ir 0.3257 0.0000 0.5832  1 H 1.64
Ir 0.3257 0.5000 0.0832  1 H 1.64
Se 0.1261 0.0000 0.3834  1 Ir 2.61, 5 Mn 2.63-2.67
Se 0.1261 0.5000 0.8834  1 Ir 2.61, 5 Mn 2.63-2.67

***

Entry 2
The following is a DFT calculation (PBE) of a relaxed structure of Mn2HIrSe.

Computed properties:
Crystal system = triclinic
Total magnetic moment = 0.02 μB/atom

abc: 3.7293 5.2334 5.4045
angles: 39.49 90.12 90.12
Last column: nearest neighbours and their distance in Å.
Atoms (fractional coordinates):
Mn 0.6709 0.7895 0.3875  1 H 2.58, 1 Ir 2.60, 4 Se 2.67-2.70
Mn 0.1727 0.1453 0.6938  2 H 2.00
H 0.6727 0.0562 0.6370  2 Ir 1.80-1.81, 2 Mn 2.00
Ir 0.6722 0.5342 0.1228  2 H 1.80-1.81
Se 0.1714 0.3660 0.9539  5 Mn 2.41-2.70, 2 Ir 2.51-2.52

***

Most stable one: entry 1, least stable one: entry 2.

***

Entry 1
The following is a DFT calculation (PBE) of a relaxed structure of Ta2MnHIr.

Computed properties:
Crystal system = tetragonal
Total magnetic moment = 0.34 μB/atom

abc: 4.1426 4.1426 3.7976
angles: 90.00 90.00 90.00
Last column: nearest neighbours and their distance in Å.
Atoms (fractional coordinates):
H 0.0000 0.0000 0.0000  2 Ir 1.90, 4 Ta 2.07
Ir 0.0000 0.0000 0.5000  2 H 1.90
Mn 0.5000 0.5000 0.5000  8 Ta 2.81, 4 Ir 2.93
Ta 0.0000 0.5000 0.0000  2 H 2.07
Ta 0.5000 0.0000 0.0000  2 H 2.07

***

Entry 2
The following is a DFT calculation (PBE) of a relaxed structure of Ta2MnHIr.

Computed properties:
Crystal system = tetragonal
Total magnetic moment = 0.00 μB/atom

abc: 4.2139 4.2139 3.5867
angles: 90.00 90.00 90.00
Last column: nearest neighbours and their distance in Å.
Atoms (fractional coordinates):
H 0.0000 0.0000 0.0000  2 Mn 1.79
Ir 0.5000 0.5000 0.5000  8 Ta 2.77, 4 Mn 2.98
Mn 0.0000 0.0000 0.5000  2 H 1.79
Ta 0.0000 0.5000 0.0000  2 H 2.11
Ta 0.5000 0.0000 0.0000  2 H 2.11

***

Most stable one: entry 2, least stable one: entry 1.

***

Entry 1
The following is a DFT calculation (PBE) of a relaxed structure of TaMnHIr2.

Computed properties:
Crystal system = tetragonal
Total magnetic moment = 0.28 μB/atom

abc: 3.9249 3.9249 3.9125
angles: 90.00 90.00 90.00
Last column: nearest neighbours and their distance in Å.
Atoms (fractional coordinates):
H 0.0000 0.0000 0.0000  2 Mn 1.96, 4 Ir 1.96
Ir 0.0000 0.5000 0.0000  2 H 1.96
Ir 0.5000 0.0000 0.0000  2 H 1.96
Mn 0.0000 0.0000 0.5000  2 H 1.96
Ta 0.5000 0.5000 0.5000  8 Ir 2.77, 4 Mn 2.78

***

Entry 2
The following is a DFT calculation (PBE) of a relaxed structure of TaMnHIr2.

Computed properties:
Crystal system = tetragonal
Total magnetic moment = 0.32 μB/atom

abc: 3.9015 3.9015 4.0160
angles: 90.00 90.00 90.00
Last column: nearest neighbours and their distance in Å.
Atoms (fractional coordinates):
H 0.0000 0.0000 0.0000  4 Ir 1.95, 2 Ta 2.01
Ir 0.0000 0.5000 0.0000  2 H 1.95
Ir 0.5000 0.0000 0.0000  2 H 1.95
Mn 0.5000 0.5000 0.5000  4 Ta 2.76, 8 Ir 2.80
Ta 0.0000 0.0000 0.5000  2 H 2.01

***

Most stable one: entry 1, least stable one: entry 2.

***

Entry 1
The following is a DFT calculation (PBE) of a relaxed structure of TiMn2HIr.

Computed properties:
Crystal system = tetragonal
Total magnetic moment = 0.77 μB/atom

abc: 3.7583 3.7583 3.9639
angles: 90.00 90.00 90.00
Last column: nearest neighbours and their distance in Å.
Atoms (fractional coordinates):
H 0.0000 0.0000 0.0000  4 Mn 1.88, 2 Ir 1.98
Ir 0.0000 0.0000 0.5000  2 H 1.98
Mn 0.0000 0.5000 0.0000  2 H 1.88
Mn 0.5000 0.0000 0.0000  2 H 1.88
Ti 0.5000 0.5000 0.5000  4 Ir 2.66, 8 Mn 2.73

***

Entry 2
The following is a DFT calculation (PBE) of a relaxed structure of TiMn2HIr.

Computed properties:
Crystal system = tetragonal
Total magnetic moment = 0.78 μB/atom

abc: 3.7021 3.7021 4.0506
angles: 90.00 90.00 90.00
Last column: nearest neighbours and their distance in Å.
Atoms (fractional coordinates):
H 0.0000 0.0000 0.0000  4 Mn 1.85, 2 Ti 2.03
Ir 0.5000 0.5000 0.5000  4 Ti 2.62, 8 Mn 2.74
Mn 0.0000 0.5000 0.0000  2 H 1.85
Mn 0.5000 0.0000 0.0000  2 H 1.85
Ti 0.0000 0.0000 0.5000  2 H 2.03

***

Most stable one: entry 2, least stable one: entry 1.

***

Entry 1
The following is a DFT calculation (PBE) of a relaxed structure of TiMnHIr2.

Computed properties:
Crystal system = tetragonal
Total magnetic moment = 0.47 μB/atom

abc: 3.9173 3.9173 3.8659
angles: 90.00 90.00 90.00
Last column: nearest neighbours and their distance in Å.
Atoms (fractional coordinates):
H 0.0000 0.0000 0.0000  2 Ti 1.93, 4 Ir 1.96
Ir 0.0000 0.5000 0.0000  2 H 1.96
Ir 0.5000 0.0000 0.0000  2 H 1.96
Mn 0.5000 0.5000 0.5000  8 Ir 2.75, 4 Ti 2.77
Ti 0.0000 0.0000 0.5000  2 H 1.93

***

Entry 2
The following is a DFT calculation (PBE) of a relaxed structure of TiMnHIr2.

Computed properties:
Crystal system = tetragonal
Total magnetic moment = 0.42 μB/atom

abc: 3.9364 3.9364 3.7937
angles: 90.00 90.00 90.00
Last column: nearest neighbours and their distance in Å.
Atoms (fractional coordinates):
H 0.0000 0.0000 0.0000  2 Mn 1.90, 4 Ir 1.97
Ir 0.0000 0.5000 0.0000  2 H 1.97
Ir 0.5000 0.0000 0.0000  2 H 1.97
Mn 0.0000 0.0000 0.5000  2 H 1.90
Ti 0.5000 0.5000 0.5000  8 Ir 2.73, 4 Mn 2.78

***

Most stable one: entry 2, least stable one: entry 1.

***

Entry 1
The following is a DFT calculation (PBE) of a relaxed structure of Mn2ZnHIr.

Computed properties:
Crystal system = tetragonal
Total magnetic moment = 1.06 μB/atom

abc: 3.6907 3.6907 4.0328
angles: 90.00 90.00 90.00
Last column: nearest neighbours and their distance in Å.
Atoms (fractional coordinates):
H 0.0000 0.0000 0.0000  4 Mn 1.85, 2 Zn 2.02
Zn 0.0000 0.0000 0.5000  2 H 2.02
Ir 0.5000 0.5000 0.5000  4 Zn 2.61, 8 Mn 2.73
Mn 0.0000 0.5000 0.0000  2 H 1.85
Mn 0.5000 0.0000 0.0000  2 H 1.85

***

Entry 2
The following is a DFT calculation (PBE) of a relaxed structure of Mn2ZnHIr.

Computed properties:
Crystal system = tetragonal
Total magnetic moment = 1.17 μB/atom

abc: 3.8122 3.8122 3.8598
angles: 90.00 90.00 90.00
Last column: nearest neighbours and their distance in Å.
Atoms (fractional coordinates):
H 0.0000 0.0000 0.0000  4 Mn 1.91, 2 Ir 1.93
Zn 0.5000 0.5000 0.5000  4 Ir 2.70, 8 Mn 2.71
Ir 0.0000 0.0000 0.5000  2 H 1.93
Mn 0.0000 0.5000 0.0000  2 H 1.91
Mn 0.5000 0.0000 0.0000  2 H 1.91

***

Most stable one: entry 2, least stable one: entry 1.

***

Entry 1
The following is a DFT calculation (PBE) of a relaxed structure of MoHIr3.

Computed properties:
Crystal system = cubic
Total magnetic moment = 0.13 μB/atom

abc: 3.9505 3.9505 3.9505
angles: 90.00 90.00 90.00
Last column: nearest neighbours and their distance in Å.
Atoms (fractional coordinates):
H 0.0000 0.0000 0.0000  6 Ir 1.98
Mo 0.5000 0.5000 0.5000  12 Ir 2.79
Ir 0.0000 0.5000 0.0000  2 H 1.98
Ir 0.0000 0.0000 0.5000  2 H 1.98
Ir 0.5000 0.0000 0.0000  2 H 1.98

***

Entry 2
The following is a DFT calculation (PBE) of a relaxed structure of MoHIr3.

Computed properties:
Crystal system = cubic
Total magnetic moment = 0.13 μB/atom

abc: 4.7313 4.7313 4.7313
angles: 90.00 90.00 90.00
Last column: nearest neighbours and their distance in Å.
Atoms (fractional coordinates):
H 0.5000 0.5000 0.5000  12 Ir 3.35
Mo 0.0000 0.0000 0.0000  6 Ir 2.37
Ir 0.0000 0.5000 0.0000  2 Mo 2.37
Ir 0.0000 0.0000 0.5000  2 Mo 2.37
Ir 0.5000 0.0000 0.0000  2 Mo 2.37

***

Most stable one: entry 1, least stable one: entry 2.